# 1
An optimized crystal structure of Ho4Mg3Os, computed with PBE-GGA.

POSCAR file:
```
Ho4Mg3Os
1.0
3.473 0.000 0.000
0.000 3.473 0.000
0.000 0.000 16.765
Ho Mg Os
4 3 1
direct
0.000 0.000 0.097
0.000 0.000 0.632
0.000 0.000 0.368
0.000 0.000 0.903
0.500 0.500 0.762
0.500 0.500 0.238
0.500 0.500 0.500
0.500 0.500 0.000
```

Output
calculated volume: 25.28 Å³/atom
E_form: -0.14 eV per atom
total magnetization: 0.0 μB per cell
electronic total energy: -4.429 eV per atom


# 2
An optimized crystal structure of Ho2MgOs2, computed with PBE-GGA.

POSCAR file:
```
Ho2MgOs2
1.0
5.486 0.000 0.000
-2.743 4.837 -0.025
0.000 -2.265 7.991
Ho Os Mg
4 4 2
direct
0.499 0.300 0.149
0.801 0.300 0.649
0.199 0.700 0.351
0.501 0.700 0.851
0.008 0.722 0.992
0.714 0.722 0.492
0.286 0.278 0.508
0.992 0.278 0.008
0.852 0.000 0.250
0.148 0.000 0.750
```

Output
calculated volume: 21.17 Å³/atom
E_form: -0.15 eV per atom
total magnetization: 0.0 μB per cell
electronic total energy: -6.794 eV per atom


# 3
An optimized crystal structure of Ho3Mg2Os, computed with PBE-GGA.

POSCAR file:
```
Ho3Mg2Os
1.0
-4.635 -0.013 -6.239
3.104 -4.618 5.427
-6.401 1.283 4.752
Ho Mg Os
6 4 2
direct
0.175 0.825 0.794
0.175 0.825 0.206
0.825 0.175 0.794
0.500 0.500 0.217
0.500 0.500 0.783
0.825 0.175 0.206
0.667 0.333 0.500
0.333 0.667 0.500
0.000 0.000 0.000
0.000 0.000 0.500
0.341 0.659 0.000
0.659 0.341 0.000
```

Output
calculated volume: 24.51 Å³/atom
E_form: -0.19 eV per atom
total magnetization: 0.0 μB per cell
electronic total energy: -4.885 eV per atom


# 4
An optimized crystal structure of SmHoMgOs, computed with PBE-GGA.

POSCAR file:
```
SmHoMgOs
1.0
-4.172 -2.815 0.131
-2.076 -1.625 -4.289
0.218 -4.882 -1.211
Ho Sm Os Mg
1 1 1 1
direct
0.250 0.250 0.250
0.750 0.750 0.750
0.000 0.000 0.000
0.500 0.500 0.500
```

Output
calculated volume: 22.56 Å³/atom
E_form: -0.10 eV per atom
total magnetization: 0.0 μB per cell
electronic total energy: -5.630 eV per atom